{"formula": "Pm5Nd8Sc", "functional": "GGA-PBE", "state": "relaxed", "vol_a3_per_atom": 34.91, "magmom_total_mub_per_atom": 0.0002, "delta_e_f_ev_per_atom": 0.247, "total_energy_ev_per_atom": -4.626, "lattice_angstrom": [[-4.9017, 4.9017, 5.0852], [4.9017, -4.9017, 5.0852], [4.9017, 4.9017, -5.0852]], "species": ["Pm", "Pm", "Pm", "Pm", "Pm", "Nd", "Nd", "Nd", "Nd", "Nd", "Nd", "Nd", "Nd", "Sc"], "frac_coords": [[0.0000, 0.0000, 0.0000], [0.3177, 0.2138, 0.6898], [0.3721, 0.6823, 0.8960], [0.5240, 0.6279, 0.3102], [0.7862, 0.4760, 0.1040], [0.0230, 0.7599, 0.6031], [0.0561, 0.3289, 0.8918], [0.1569, 0.4200, 0.3969], [0.2401, 0.8431, 0.2631], [0.4371, 0.1643, 0.1082], [0.5800, 0.9770, 0.7369], [0.6711, 0.5629, 0.7272], [0.8357, 0.9439, 0.2728], [0.7500, 0.2500, 0.5000]]}